## Mo2Ir5Pt (PBE-GGA)

Data for crystalline Mo2Ir5Pt at its relaxed geometry.

The formation energy from the elements comes out at -286 meV per atom. For the volume, the calculation gives 14.8 A^3/atom.

The structure belongs to space group Amm2 (No. 38); the cell edges are 4.430, 5.565 and 9.604 Å and the angles 90.00°, 90.00° and 90.00°. Symmetry generates all atoms from Mo at (0.000, 0.000, 0.000), Mo at (0.500, 0.000, 0.330), Ir at (0.000, 0.000, 0.500), Ir at (0.000, 0.247, 0.248), Ir at (0.500, 0.247, 0.580) and Pt at (0.500, 0.000, 0.832).